[1]
This record from the Alexandria database describes crystalline Pm2Dy3Er6Pb at its relaxed geometry. The functional is PBE.

Summary:
Calculated formation energy (eV per atom): -0.06

abc: 6.0727 6.0727 11.6841
angles: 94.99 94.99 120.02
Sites, in units of the cell vectors:
Er1 0.4106 0.0828 0.2502
Er2 0.2444 0.2444 0.7487
Er3 0.0828 0.4106 0.2502
Er4 0.5894 0.9172 0.7498
Er5 0.7556 0.7556 0.2513
Er6 0.9172 0.5894 0.7498
Pm1 0.6662 0.3338 0.0000
Pm2 0.3338 0.6662 0.0000
Dy1 0.1673 0.8327 0.5000
Dy2 0.5000 0.5000 0.5000
Dy3 0.8327 0.1673 0.5000
Pb1 0.0000 0.0000 0.0000

***

[2]
This record from the Alexandria database describes crystalline TlCu at its relaxed geometry. The functional is PBE.

Summary:
Calculated formation energy (eV per atom): 0.25

abc: 6.1771 6.4377 8.2789
angles: 90.00 90.00 90.00
Sites, in units of the cell vectors:
Tl1 0.3310 0.3262 0.4365
Tl2 0.6690 0.8262 0.0635
Tl3 0.8310 0.1738 0.5635
Tl4 0.9028 0.2812 0.1680
Tl5 0.1690 0.6738 0.9365
Tl6 0.5972 0.7188 0.6680
Tl7 0.4028 0.2188 0.8320
Tl8 0.0972 0.7812 0.3320
Cu1 0.9826 0.0661 0.8806
Cu2 0.7080 0.5748 0.3600
Cu3 0.2080 0.9252 0.6400
Cu4 0.0174 0.5661 0.6194
Cu5 0.4826 0.4339 0.1194
Cu6 0.7920 0.4252 0.8600
Cu7 0.5174 0.9339 0.3806
Cu8 0.2920 0.0748 0.1400

***

[3]
This record from the Alexandria database describes crystalline TlPW2 at its relaxed geometry. The functional is PBE.

Summary:
Distance to the lowest polymorph of the same formula (meV per atom): 271
Calculated formation energy (eV per atom): 0.55

abc: 8.7537 8.7537 8.7537
angles: 19.89 19.89 19.89
Sites, in units of the cell vectors:
P1 0.5000 0.5000 0.5000
Tl1 0.0000 0.0000 0.0000
W1 0.2371 0.2371 0.2371
W2 0.7629 0.7629 0.7629

***

[4]
This record from the Alexandria database describes crystalline ReTe2Os at its relaxed geometry. The functional is PBE.

Summary:
Uncorrected formation energy (eV per formula unit): 1.61
Distance to the lowest polymorph of the same formula (meV per atom): 0

abc: 4.0382 2.9796 7.7128
angles: 88.90 90.00 90.00
Sites, in units of the cell vectors:
Te1 0.0000 0.0223 0.9078
Te2 0.5000 0.4538 0.3384
Re1 0.5000 0.7568 0.6906
Os1 0.0000 0.2672 0.5633

***

[5]
This record from the Alexandria database describes crystalline LiTlHgSb at its relaxed geometry. The functional is PBE.

Summary:
Uncorrected formation energy (eV per formula unit): -0.70
Distance to the lowest polymorph of the same formula (meV per atom): 0

abc: 3.3820 3.3820 8.7120
angles: 90.00 90.00 90.00
Sites, in units of the cell vectors:
Li1 0.0000 0.0000 0.5725
Hg1 0.5000 0.5000 0.7737
Sb1 0.5000 0.5000 0.3673
Tl1 0.0000 0.0000 0.0711

***

[6]
This record from the Alexandria database describes crystalline CrTc at its relaxed geometry. The functional is PBE.

Summary:
Calculated formation energy (eV per atom): 0.22

abc: 4.3203 4.7982 5.1541
angles: 90.00 90.00 90.00
Sites, in units of the cell vectors:
Cr1 0.2500 0.5796 0.3531
Cr2 0.7500 0.4204 0.6469
Cr3 0.2500 0.0796 0.1469
Cr4 0.7500 0.9204 0.8531
Tc1 0.2500 0.6035 0.8624
Tc2 0.2500 0.1035 0.6376
Tc3 0.7500 0.8965 0.3624
Tc4 0.7500 0.3965 0.1376

***

[7]
This record from the Alexandria database describes crystalline LiIrPt2F at its relaxed geometry. The functional is PBE.

Summary:
Uncorrected formation energy (eV per formula unit): 0.21
Distance to the lowest polymorph of the same formula (meV per atom): 0

abc: 4.7925 2.9964 4.7925
angles: 90.00 90.00 90.00
Site moments in Bohr magnetons follow the coordinates.
Sites, in units of the cell vectors:
Pt1 0.5000 0.0000 0.0000  0.11
Pt2 0.0000 0.0000 0.5000  0.08
Li1 0.0000 0.0000 0.0000  0.00
Ir1 0.5000 0.5000 0.5000  0.24
F1 0.0000 0.5000 0.0000  0.00

***

[8]
This record from the Alexandria database describes crystalline SiSnS2N at its relaxed geometry. The functional is PBE.

Summary:
Uncorrected formation energy (eV per formula unit): 4.71
Distance to the lowest polymorph of the same formula (meV per atom): 1272

abc: 5.0650 5.0650 3.9932
angles: 90.00 90.00 90.00
Site moments in Bohr magnetons follow the coordinates.
Sites, in units of the cell vectors:
S1 0.5000 0.0000 0.0000  0.08
S2 0.0000 0.5000 0.0000  0.08
Si1 0.5000 0.5000 0.5000  -0.02
N1 0.0000 0.0000 0.5000  0.62
Sn1 0.0000 0.0000 0.0000  -0.04

***

[9]
This record from the Alexandria database describes crystalline Er8Zn2Sb at its relaxed geometry. The functional is PBE.

Summary:
Uncorrected formation energy (eV per formula unit): -2.03

abc: 5.4334 8.0292 8.0292
angles: 115.00 99.18 99.18
Sites, in units of the cell vectors:
Er1 0.5000 0.2360 0.7640
Er2 0.8928 0.6725 0.9162
Er3 0.8928 0.9162 0.6724
Er4 0.5000 0.7640 0.2360
Er5 0.1072 0.3276 0.0838
Er6 0.7011 0.3967 0.3967
Er7 0.2989 0.6033 0.6033
Er8 0.1072 0.0838 0.3276
Sb1 0.5000 0.0000 0.0000
Zn1 0.0000 0.3067 0.6933
Zn2 0.0000 0.6933 0.3067

***

[10]
This record from the Alexandria database describes crystalline OsRu3 at its relaxed geometry. The functional is PBE.

Summary:
Calculated formation energy (eV per atom): 0.10

abc: 5.4486 8.7362 5.4486
angles: 90.00 60.00 90.00
Sites, in units of the cell vectors:
Ru1 0.6676 0.2500 0.1662
Ru2 0.3324 0.7500 0.8338
Ru3 0.1662 0.2500 0.1662
Ru4 0.5000 0.0000 0.0000
Ru5 0.5000 0.0000 0.5000
Ru6 0.8338 0.7500 0.8338
Ru7 0.1662 0.2500 0.6676
Ru8 0.0000 0.0000 0.5000
Ru9 0.0000 0.5000 0.5000
Ru10 0.8338 0.7500 0.3324
Ru11 0.5000 0.5000 0.0000
Ru12 0.5000 0.5000 0.5000
Os1 0.0000 0.0000 0.0000
Os2 0.3333 0.7500 0.3333
Os3 0.0000 0.5000 0.0000
Os4 0.6667 0.2500 0.6667

***

[11]
This record from the Alexandria database describes crystalline Ac2Dy3Hg2 at its relaxed geometry. The functional is PBE.

Summary:
Distance to the lowest polymorph of the same formula (meV per atom): 10
Calculated formation energy (eV per atom): -0.20

abc: 16.4639 16.4639 3.7074
angles: 90.00 90.00 166.90
Sites, in units of the cell vectors:
Ac1 0.6962 0.3038 0.5000
Ac2 0.3038 0.6962 0.5000
Dy1 0.5704 0.4296 0.5000
Dy2 0.0000 0.0000 0.0000
Dy3 0.4296 0.5704 0.5000
Hg1 0.8741 0.1259 0.0000
Hg2 0.1259 0.8741 0.0000

***

[12]
This record from the Alexandria database describes crystalline GaW at its relaxed geometry. The functional is PBE.

Summary:
Distance to the lowest polymorph of the same formula (meV per atom): 242
Calculated formation energy (eV per atom): 0.39

abc: 2.7774 3.3127 3.3620
angles: 90.00 90.00 90.00
Sites, in units of the cell vectors:
Ga1 0.0000 0.5000 0.0000
W1 0.5000 0.0000 0.5000

***

Across the entries above, electronic total energy takes the values -4.5970 -2.9766 -7.8733 -7.0876 -2.3502 -9.7777 -4.9031 -4.2598 -4.1093 -9.6657 -3.4341 -7.5990 eV/atom, respectively.